Record 1
This record from Alexandria via LeMat-Bulk describes Tl2WSe at its PBEsol-relaxed geometry. The functional is meta-GGA SCAN.

For the theoretical density, the calculation gives 13.44 g/cm³. Its energy above the most stable polymorph in this dataset is 60 kJ/mol of formula units. The value obtained for the density of states at the Fermi level is 0.524 states/eV per atom. The formation energy without anion corrections comes out at 1.016 eV per atom.

The space group is Pmmm (No. 47) and the conventional cell measures 3.152, 5.024 and 5.238 Å, with angles of 90.00, 90.00 and 90.00 degrees. The asymmetric unit holds Tl at (0.000, 0.000, 0.000), Tl at (0.500, 0.500, 0.000), W at (0.000, 0.500, 0.500) and Se at (0.500, 0.000, 0.500).

***

Record 2
This record from Alexandria via LeMat-Bulk describes Tl2WSe at its PBEsol-relaxed geometry. The functional is meta-GGA SCAN.

For the theoretical density, the calculation gives 12.54 g/cm³. Its energy above the most stable polymorph in this dataset is 0 kJ/mol of formula units. The value obtained for the density of states at the Fermi level is 0.527 states/eV per atom. The formation energy without anion corrections comes out at 0.862 eV per atom.

The space group is P2/m (No. 10) and the conventional cell measures 3.348, 5.425 and 4.902 Å, with angles of 90.00, 92.61 and 90.00 degrees. The asymmetric unit holds Tl at (0.229, 0.000, 0.253), W at (0.500, 0.500, 0.500) and Se at (0.500, 0.500, 0.000).

***

Record 3
This record from Alexandria via LeMat-Bulk describes TlW2Se at its PBEsol-relaxed geometry. The functional is meta-GGA SCAN.

For the theoretical density, the calculation gives 14.96 g/cm³. Its energy above the most stable polymorph in this dataset is 267 kJ/mol of formula units. The value obtained for the density of states at the Fermi level is 0.688 states/eV per atom. The formation energy without anion corrections comes out at 1.467 eV per atom.

The space group is P4/mmm (No. 123) and the conventional cell measures 3.980, 3.980 and 4.562 Å, with angles of 90.00, 90.00 and 90.00 degrees. The asymmetric unit holds Tl at (0.000, 0.000, 0.000), W at (0.000, 0.500, 0.500) and Se at (0.500, 0.500, 0.000).

***

Record 4
This record from Alexandria via LeMat-Bulk describes TlW2Se at its PBEsol-relaxed geometry. The functional is meta-GGA SCAN.

For the theoretical density, the calculation gives 14.68 g/cm³. Its energy above the most stable polymorph in this dataset is 0 kJ/mol of formula units. The value obtained for the density of states at the Fermi level is 0.756 states/eV per atom. The formation energy without anion corrections comes out at 0.776 eV per atom.

The space group is Pm (No. 6) and the conventional cell measures 3.029, 4.568 and 5.521 Å, with angles of 90.00, 105.49 and 90.00 degrees. The asymmetric unit holds Tl at (0.000, 0.000, 0.000), W at (0.272, 0.000, 0.514), W at (0.674, 0.500, 0.337) and Se at (0.354, 0.500, 0.712).

***

Q: The highest theoretical density belongs to which entry?
A: number 3